Density functional theory data (SCAN) for Zr3TcOs at its PBEsol-relaxed geometry.

## Properties
- Energy: -38.9319 eV per atom
- Relative energy among the computed polymorphs: 176 meV per atom
- DFT formation energy: 0.8754 eV per atom

a b c (Å): 4.792 4.792 4.792
angles (deg): 90.00 90.00 90.00
Fractional positions:
Os  0.500  0.500  0.500
Zr  0.000  0.000  0.500
Zr  0.500  0.000  0.000
Zr  0.000  0.500  0.000
Tc  0.000  0.000  0.000

Density functional theory data (SCAN) for TeOs at its PBEsol-relaxed geometry.

## Properties
- Energy: -53.5688 eV per atom
- Raw formation energy: 1.00 eV per atom

a b c (Å): 3.168 3.168 3.537
angles (deg): 90.00 90.00 90.00
Fractional positions:
Te  0.500  0.500  0.500
Os  0.000  0.000  0.000

Density functional theory data (SCAN) for TeOs2 at its PBEsol-relaxed geometry.

## Properties
- Energy: -59.2585 eV per atom
- Relative energy among the computed polymorphs: 0 meV per atom
- Raw formation energy: 1.08 eV per atom

a b c (Å): 3.032 4.331 4.331
angles (deg): 120.00 90.00 90.00
Fractional positions:
Te  0.000  0.000  0.000
Os  0.739  0.333  0.667
Os  0.261  0.667  0.333

Density functional theory data (SCAN) for TeOs3 at its PBEsol-relaxed geometry.

## Properties
- Energy: -62.2484 eV per atom
- Relative energy among the computed polymorphs: 144 meV per atom
- Raw formation energy: 0.97 eV per atom

a b c (Å): 3.946 3.946 3.946
angles (deg): 90.00 90.00 90.00
Fractional positions:
Os  0.500  0.000  0.500
Os  0.000  0.500  0.500
Os  0.500  0.500  0.000
Te  0.000  0.000  0.000

Density functional theory data (SCAN) for Te5Os at its PBEsol-relaxed geometry.

## Properties
- Energy: -42.8586 eV per atom
- Raw formation energy: 0.16 eV per atom

a b c (Å): 4.009 5.819 7.374
angles (deg): 90.00 105.77 90.00
Fractional positions:
Te  0.388  0.500  0.775
Te  0.676  0.000  0.352
Te  0.723  0.500  0.447
Te  0.435  0.000  0.870
Te  0.056  0.500  0.111
Os  0.056  0.000  0.111

Density functional theory data (SCAN) for TeOs2 at its PBEsol-relaxed geometry.

## Properties
- Energy: -59.1967 eV per atom
- Relative energy among the computed polymorphs: 62 meV per atom
- Raw formation energy: 1.14 eV per atom

a b c (Å): 3.653 3.653 4.309
angles (deg): 90.00 90.00 90.00
Fractional positions:
Os  0.000  0.500  0.500
Os  0.500  0.000  0.500
Te  0.000  0.000  0.000

Density functional theory data (SCAN) for TeOs3 at its PBEsol-relaxed geometry.

## Properties
- Energy: -62.3927 eV per atom
- Relative energy among the computed polymorphs: 0 meV per atom
- Raw formation energy: 0.83 eV per atom

a b c (Å): 2.869 3.773 5.854
angles (deg): 90.00 90.00 90.00
Fractional positions:
Te  0.000  0.000  0.000
Os  0.500  0.500  0.278
Os  0.500  0.500  0.722
Os  0.000  0.000  0.500

Density functional theory data (SCAN) for TeOs at its PBEsol-relaxed geometry.

## Properties
- Energy: -53.6087 eV per atom
- Raw formation energy: 0.96 eV per atom

a b c (Å): 2.997 4.800 5.865
angles (deg): 114.15 104.80 90.00
Fractional positions:
Os  0.857  0.107  0.713
Os  0.143  0.893  0.287
Te  0.399  0.649  0.797
Te  0.601  0.351  0.203

Density functional theory data (SCAN) for TeOs3 at its PBEsol-relaxed geometry.

## Properties
- Energy: -62.0833 eV per atom
- Relative energy among the computed polymorphs: 309 meV per atom
- Raw formation energy: 1.14 eV per atom

a b c (Å): 4.473 4.473 4.473
angles (deg): 60.00 60.00 60.00
Fractional positions:
Te  0.000  0.000  0.000
Os  0.250  0.250  0.250
Os  0.750  0.750  0.750
Os  0.500  0.500  0.500

Density functional theory data (SCAN) for TeOs3 at its PBEsol-relaxed geometry.

## Properties
- Energy: -62.3899 eV per atom
- Relative energy among the computed polymorphs: 3 meV per atom
- Raw formation energy: 0.83 eV per atom

a b c (Å): 2.887 2.887 8.860
angles (deg): 80.62 80.62 60.00
Fractional positions:
Os  0.753  0.753  0.742
Os  0.500  0.500  0.500
Os  0.247  0.247  0.258
Te  0.000  0.000  0.000

Density functional theory data (SCAN) for TiTe2Os at its PBEsol-relaxed geometry.

## Properties
- Energy: -40.2694 eV per atom
- Raw formation energy: 0.33 eV per atom

a b c (Å): 6.052 6.052 7.309
angles (deg): 114.46 114.46 90.00
Fractional positions:
Os  0.000  0.000  0.000
Os  0.250  0.750  0.500
Ti  0.500  0.500  0.000
Ti  0.750  0.250  0.500
Te  0.355  0.875  0.250
Te  0.895  0.375  0.250
Te  0.625  0.645  0.750
Te  0.125  0.105  0.750

Density functional theory data (SCAN) for ZrTiTe2Os at its PBEsol-relaxed geometry.

## Properties
- Energy: -38.0567 eV per atom
- Raw formation energy: 0.57 eV per atom

a b c (Å): 4.508 5.184 5.184
angles (deg): 90.00 90.00 90.00
Fractional positions:
Zr  0.500  0.500  0.500
Ti  0.500  0.000  0.000
Os  0.000  0.000  0.000
Te  0.000  0.000  0.500
Te  0.000  0.500  0.000

Calculated total moment, 0.00 0.00 0.00 0.00 0.00 0.00 0.00 0.00 2.46 0.00 1.43 0.00 μB/f.u. (same order as the records).